{
  "formula": "Ba2YSi",
  "functional": "SCAN",
  "state": "single point on PBEsol structure",
  "lattice": [[3.747, 0.000, 0.000], [0.000, 6.198, -0.028], [0.000, -2.710, 5.575]],
  "species": ["Ba", "Ba", "Si", "Y"],
  "fractional_positions": [[0.000, 0.500, 0.000], [0.000, 0.000, 0.500], [0.500, 0.000, 0.000], [0.500, 0.500, 0.500]],
  "mass_density_kg_m3": 5034,
  "e_tot_ev_per_atom": -29.035,
  "raw_formation_energy_ev_per_atom": 0.205
}